[1]
DFT (GGA-PBE) results for a relaxed structure of CsHg3. Values from VASP.

Cell and atoms, written as Quantum ESPRESSO input:
```
&SYSTEM
  ibrav = 0, nat = 4, ntyp = 2
/
ATOMIC_SPECIES
Cs 132.91 Cs.upf
Hg 200.59 Hg.upf
ATOMIC_POSITIONS crystal
Cs 0.000 0.000 0.000
Hg 0.250 0.250 0.250
Hg 0.500 0.500 0.500
Hg 0.750 0.750 0.750
CELL_PARAMETERS angstrom
0.000 4.277 4.277
4.277 0.000 4.277
4.277 4.277 0.000
```

The space group is Fm-3m (225).

***

[2]
DFT (GGA-PBE) results for a relaxed structure of Cs2Hg3. Values from VASP.

Cell and atoms, written as Quantum ESPRESSO input:
```
&SYSTEM
  ibrav = 0, nat = 10, ntyp = 2
/
ATOMIC_SPECIES
Cs 132.91 Cs.upf
Hg 200.59 Hg.upf
ATOMIC_POSITIONS crystal
Cs 0.101 0.101 0.101
Cs 0.399 0.399 0.399
Cs 0.601 0.601 0.601
Cs 0.899 0.899 0.899
Hg 0.051 0.250 0.449
Hg 0.250 0.449 0.051
Hg 0.449 0.051 0.250
Hg 0.551 0.949 0.750
Hg 0.750 0.551 0.949
Hg 0.949 0.750 0.551
CELL_PARAMETERS angstrom
4.572 2.640 7.716
-4.572 2.640 7.716
0.000 -5.280 7.716
```

The energy above the lowest structure with this stoichiometry is 0.427 eV/f.u. The space group is R-3c (167).

***

[3]
DFT (GGA-PBE) results for a relaxed structure of CsHg. Values from VASP.

Cell and atoms, written as Quantum ESPRESSO input:
```
&SYSTEM
  ibrav = 0, nat = 8, ntyp = 2
/
ATOMIC_SPECIES
Cs 132.91 Cs.upf
Hg 200.59 Hg.upf
ATOMIC_POSITIONS crystal
Cs 0.067 0.289 0.356
Cs 0.289 0.933 0.222
Cs 0.711 0.067 0.778
Cs 0.933 0.711 0.644
Hg 0.311 0.570 0.881
Hg 0.430 0.311 0.741
Hg 0.570 0.689 0.259
Hg 0.689 0.430 0.119
CELL_PARAMETERS angstrom
-5.350 5.350 3.730
5.350 -5.350 3.730
5.350 5.350 -3.730
```

The space group is I4/m (87).

***

Number 1: uncorrected energy -2.440 eV for the cell shown, V 39.128 Å³ per atom. Number 2: uncorrected energy -6.773 eV for the cell shown, V 55.879 Å³ per atom. Number 3: uncorrected energy -6.254 eV for the cell shown, V 53.378 Å³ per atom.